(1)
A relaxed structure of Cr2CuBr. Source: Alexandria, functional PBE.

Unit cell a=5.7366 b=5.7366 c=5.7366 alpha=141.41 beta=141.41 gamma=55.72
Closest atoms and distances in Å follow each position.
Sites, in units of the cell vectors:
Cr (0.0000, 0.0000, 0.0000)  4 Br 2.68
Cr (0.7500, 0.2500, 0.5000)  4 Cu 2.68
Cu (0.2500, 0.7500, 0.5000)  4 Cr 2.68
Br (0.5000, 0.5000, 0.0000)  4 Cr 2.68

- ΔE_f (raw) (eV/atom) = 0.796
- distance to the lowest polymorph of the same formula (meV/atom) = 445


(2)
A relaxed structure of Zr2Mn2Nb. Source: Alexandria, functional PBE.

Unit cell a=7.7358 b=7.7358 c=3.0872 alpha=90.00 beta=90.00 gamma=90.00
Closest atoms and distances in Å follow each position.
Sites, in units of the cell vectors:
Zr (0.1628, 0.3372, 0.0000)  6 Mn 2.72-2.76, 2 Nb 2.90
Zr (0.3372, 0.8372, 0.0000)  6 Mn 2.72-2.76, 2 Nb 2.90
Zr (0.6628, 0.1628, 0.0000)  6 Mn 2.72-2.76, 2 Nb 2.90
Zr (0.8372, 0.6628, 0.0000)  6 Mn 2.72-2.76, 2 Nb 2.90
Mn (0.1321, 0.6321, 0.5000)  6 Zr 2.72-2.76, 1 Mn 2.89
Mn (0.3679, 0.1321, 0.5000)  6 Zr 2.72-2.76, 1 Mn 2.89
Mn (0.6321, 0.8679, 0.5000)  6 Zr 2.72-2.76, 1 Mn 2.89
Mn (0.8679, 0.3679, 0.5000)  6 Zr 2.72-2.76, 1 Mn 2.89
Nb (0.0000, 0.0000, 0.0000)  4 Zr 2.90, 2 Nb 3.09
Nb (0.5000, 0.5000, 0.0000)  4 Zr 2.90, 2 Nb 3.09

- distance to the lowest polymorph of the same formula (meV/atom) = 321
- formation enthalpy at 0 K (meV/atom) = 343


(3)
A relaxed structure of AcZnF6. Source: Alexandria, functional PBE.

Unit cell a=4.8076 b=4.8076 c=4.8193 alpha=98.39 beta=98.39 gamma=98.33
Closest atoms and distances in Å follow each position.
Sites, in units of the cell vectors:
Ac (0.0000, 0.0000, 0.0000)  12 F 2.69-2.70
Zn (0.5000, 0.5000, 0.5000)  6 F 1.97-1.98
F (0.1992, 0.1992, 0.5585)  1 Zn 1.97
F (0.1994, 0.5598, 0.1993)  1 Zn 1.98
F (0.4402, 0.8006, 0.8007)  1 Zn 1.98
F (0.5598, 0.1994, 0.1993)  1 Zn 1.98
F (0.8006, 0.4402, 0.8007)  1 Zn 1.98
F (0.8008, 0.8008, 0.4415)  1 Zn 1.97

- ΔE_f (raw) (eV/atom) = -2.913


(4)
A relaxed structure of KMnGa2Ag. Source: Alexandria, functional PBE.

Unit cell a=4.7959 b=4.7959 c=5.2780 alpha=90.00 beta=90.00 gamma=90.00
Closest atoms and distances in Å follow each position.
Sites, in units of the cell vectors:
K (0.0000, 0.0000, 0.0000)  4 Ag 3.39, 8 Ga 3.57
Mn (0.5000, 0.5000, 0.5000)  4 Ga 2.40, 2 Ag 2.64
Ga (0.0000, 0.5000, 0.5000)  2 Mn 2.40
Ga (0.5000, 0.0000, 0.5000)  2 Mn 2.40
Ag (0.5000, 0.5000, 0.0000)  2 Mn 2.64

- formation enthalpy at 0 K (meV/atom) = 190


(5)
A relaxed structure of AcTb2Ni. Source: Alexandria, functional PBE.

Unit cell a=10.6976 b=10.6976 c=10.6976 alpha=20.65 beta=20.65 gamma=20.65
Closest atoms and distances in Å follow each position.
Sites, in units of the cell vectors:
Ac (0.0000, 0.0000, 0.0000)  2 Tb 3.71, 6 Ac 3.83
Tb (0.1181, 0.1181, 0.1181)  3 Ni 2.69
Tb (0.8819, 0.8819, 0.8819)  3 Ni 2.69
Ni (0.5000, 0.5000, 0.5000)  6 Tb 2.69

- distance to the lowest polymorph of the same formula (meV/atom) = 196
- formation enthalpy at 0 K (meV/atom) = 32


(6)
A relaxed structure of CdWN2. Source: Alexandria, functional PBE.

Unit cell a=6.8845 b=6.8845 c=6.8845 alpha=26.68 beta=26.68 gamma=26.68
Closest atoms and distances in Å follow each position.
Sites, in units of the cell vectors:
Cd (0.0000, 0.0000, 0.0000)  6 N 2.33
W (0.5000, 0.5000, 0.5000)  2 N 1.89
N (0.4053, 0.4053, 0.4053)  1 W 1.89
N (0.5947, 0.5947, 0.5947)  1 W 1.89

- ΔE_f (raw) (eV/atom) = 0.956


Number 1: calculated volume 72.90 Å³ per cell. Number 2: calculated volume 184.75 Å³ per cell. Number 3: calculated volume 107.43 Å³ per cell. Number 4: calculated volume 121.40 Å³ per cell. Number 5: calculated volume 133.25 Å³ per cell. Number 6: calculated volume 57.98 Å³ per cell.